A plane-wave DFT calculation with GGA+U was carried out for crystalline MnSb2IF at its relaxed geometry.

Values from the calculation:
**Magnetic moment**: 3.29 μB/cell
**Polymorph energy (0 for the lowest one)**: 0.173 eV per atom

Cell lengths 5.222, 5.222, 5.437 Å; angles 90.00, 90.00, 90.00 degrees
Fractional positions:
1 I 0.000 0.000 0.500
2 Sb 0.000 0.500 0.000
3 Sb 0.500 0.000 0.000
4 Mn 0.000 0.000 0.000
5 F 0.500 0.500 0.500